Record 1
The following is a DFT calculation (PBE-GGA) of a relaxed structure of Pa2Co3Ge5.

E above lowest polymorph in eV per atom: 0.042
M_tot in μB per cell: 0.00

a b c (Å): 4.1281 24.1393 6.5934
angles (deg): 90.00 90.00 90.00
Last column: nearest neighbours and their distance in Å.
Space group Cmc2_1 (No. 36)
One atom of each set of equivalent atoms:
Pa1 0.0000 0.0245 0.0000  1 Co 2.55
Pa2 0.0000 0.3287 0.9866  9 Ge 2.91-3.22, 2 Co 3.04
Co1 0.0000 0.1051 0.2497  6 Ge 2.48-2.67, 1 Pa 2.55
Co2 0.0000 0.2782 0.4647  7 Ge 2.40-2.58
Co3 0.0000 0.4495 0.2165  5 Ge 2.41-2.58
Ge1 0.0000 0.0963 0.6312  3 Co 2.41-2.52
Ge2 0.0000 0.2057 0.1779  4 Co 2.48-2.58, 1 Ge 2.73
Ge3 0.0000 0.2129 0.7652  3 Co 2.46-2.53, 1 Ge 2.73
Ge4 0.0000 0.3774 0.5003  4 Co 2.40-2.67
Ge5 0.0000 0.4485 0.8311  4 Co 2.49-2.58, 1 Ge 2.78


Record 2
The following is a DFT calculation (PBE-GGA) of a relaxed structure of Pa3Co2Ge6.

M_tot in μB per cell: 0.00
VASP energy in eV/atom: -6.767

a b c (Å): 3.9409 3.9409 27.5303
angles (deg): 90.00 90.00 90.00
Last column: nearest neighbours and their distance in Å.
Space group I4/mmm (No. 139)
One atom of each set of equivalent atoms:
Pa1 0.0000 0.0000 0.0000  8 Ge 3.00
Pa2 0.0000 0.0000 0.1662  4 Co 2.85, 5 Ge 2.87-3.04
Co1 0.0000 0.0000 0.3551  1 Ge 2.33
Ge1 0.0000 0.0000 0.2706  1 Co 2.33
Ge2 0.0000 0.5000 0.0821  2 Co 2.62, 4 Ge 2.79


Record 3
The following is a DFT calculation (PBE-GGA) of a relaxed structure of Pa3Co4Ge2.

E above lowest polymorph in eV per atom: 0.000
M_tot in μB per cell: 0.00

a b c (Å): 9.0695 3.9665 9.0558
angles (deg): 90.00 111.60 90.00
Last column: nearest neighbours and their distance in Å.
Space group C2/m (No. 12)
One atom of each set of equivalent atoms:
Pa1 0.0000 0.0000 0.0000  4 Co 2.69
Pa2 0.0899 0.0000 0.3954  1 Co 2.47
Co1 0.1450 0.5000 0.9057  3 Ge 2.52-2.60, 1 Co 2.52, 2 Pa 2.69
Co2 0.1465 0.5000 0.6275  1 Pa 2.47, 2 Ge 2.48, 1 Co 2.52
Ge1 0.2412 0.5000 0.2047  5 Co 2.48-2.60


Record 4
The following is a DFT calculation (PBE-GGA) of a relaxed structure of PaCo3Ge5.

M_tot in μB per cell: 0.00
VASP energy in eV/atom: -6.142

a b c (Å): 10.9054 8.0197 8.4659
angles (deg): 90.00 121.04 90.00
Last column: nearest neighbours and their distance in Å.
Space group C2/m (No. 12)
One atom of each set of equivalent atoms:
Pa1 0.1206 0.0000 0.3258  3 Co 2.37-2.49
Co1 0.0000 0.0000 0.0000  2 Pa 2.37, 4 Ge 2.38-2.44
Co2 0.0000 0.0000 0.5000  4 Ge 2.37, 2 Pa 2.43
Co3 0.1430 0.5000 0.6518  5 Ge 2.28-2.40, 1 Pa 2.49
Co4 0.1938 0.5000 0.1920  6 Ge 2.27-2.46
Ge1 0.0000 0.3043 0.0000  3 Co 2.44-2.46
Ge2 0.0718 0.5000 0.3422  3 Co 2.27-2.37
Ge3 0.1373 0.2212 0.6996  3 Co 2.28-2.37
Ge4 0.2248 0.0000 0.0171  3 Co 2.35-2.40


Record 5
The following is a DFT calculation (PBE-GGA) of a relaxed structure of Pa2CoGe.

E above lowest polymorph in eV per atom: 0.000
M_tot in μB per cell: 0.00

a b c (Å): 5.9090 3.6982 8.0086
angles (deg): 90.00 110.96 90.00
Last column: nearest neighbours and their distance in Å.
Space group P2_1/m (No. 11)
One atom of each set of equivalent atoms:
Pa1 0.1739 0.2500 0.3893  2 Co 2.69, 2 Ge 2.99
Pa2 0.2584 0.7500 0.0501  2 Co 2.69, 2 Ge 3.01
Co1 0.1533 0.2500 0.7892  2 Ge 2.50, 4 Pa 2.69
Ge1 0.3718 0.7500 0.7006  2 Co 2.50


Record 6
The following is a DFT calculation (PBE-GGA) of a relaxed structure of Pa2CoGe2.

E above lowest polymorph in eV per atom: 0.040
M_tot in μB per cell: 0.40

a b c (Å): 9.5376 5.6237 7.5151
angles (deg): 90.00 102.05 90.00
Last column: nearest neighbours and their distance in Å.
Space group P2_1/c (No. 14)
One atom of each set of equivalent atoms:
Pa1 0.1188 0.1453 0.0825  2 Co 2.77-2.95, 1 Pa 2.86, 4 Ge 2.97-3.02
Pa2 0.3413 0.6140 0.9956  7 Ge 2.95-3.18, 3 Co 2.95-3.10, 1 Pa 3.28
Co1 0.3257 0.1272 0.8401  4 Ge 2.42-2.60
Ge1 0.1219 0.6423 0.2222  1 Co 2.48
Ge2 0.4382 0.1035 0.1598  3 Co 2.42-2.60


Record 7
The following is a DFT calculation (PBE-GGA) of a relaxed structure of PaCoGe.

M_tot in μB per cell: 0.00
VASP energy in eV/atom: -7.539

a b c (Å): 4.0609 7.2482 7.4190
angles (deg): 90.00 90.00 90.00
Last column: nearest neighbours and their distance in Å.
Space group Immm (No. 71)
One atom of each set of equivalent atoms:
Pa1 0.0000 0.2260 0.0000  6 Co 2.90-3.16, 6 Ge 2.97-3.10
Co1 0.0000 0.5000 0.3308  2 Ge 2.37, 1 Co 2.51
Ge1 0.0000 0.0000 0.3341  2 Co 2.37, 1 Ge 2.46


Record 8
The following is a DFT calculation (PBE-GGA) of a relaxed structure of Pa3Co4Ge4.

E above lowest polymorph in eV per atom: 0.058
M_tot in μB per cell: 0.00

a b c (Å): 3.9047 6.8107 13.6792
angles (deg): 90.00 90.00 90.00
Last column: nearest neighbours and their distance in Å.
Space group Immm (No. 71)
One atom of each set of equivalent atoms:
Pa1 0.0000 0.0000 0.0000  6 Co 2.82-3.07
Pa2 0.0000 0.5000 0.1198  6 Co 2.89, 6 Ge 2.94-3.18
Co1 0.0000 0.0000 0.2244  6 Ge 2.47-2.56
Co2 0.0000 0.2004 0.5000  2 Ge 2.41
Ge1 0.0000 0.3083 0.3320  4 Co 2.41-2.56, 1 Ge 2.61


Record 9
The following is a DFT calculation (PBE-GGA) of a relaxed structure of Pa3Co5Ge2.

M_tot in μB per cell: 6.35
VASP energy in eV/atom: -7.494

a b c (Å): 10.5867 11.7689 5.5284
angles (deg): 90.00 90.00 90.00
Last column: nearest neighbours and their distance in Å.
Space group Ibam (No. 72)
One atom of each set of equivalent atoms:
Pa1 0.0000 0.0000 0.2500  2 Co 2.29
Pa2 0.1758 0.3788 0.0000  5 Co 2.72-2.93, 1 Ge 2.97
Co1 0.0000 0.1944 0.2500  1 Pa 2.29, 2 Co 2.45
Co2 0.0000 0.5000 0.2500  6 Co 2.49-2.76, 4 Pa 2.72
Co3 0.0918 0.3448 0.5000  1 Ge 2.29, 4 Co 2.45-2.49
Ge1 0.1943 0.1273 0.0000  1 Co 2.29


Record 10
The following is a DFT calculation (PBE-GGA) of a relaxed structure of Pa3Co3Ge4.

M_tot in μB per cell: 0.00
VASP energy in eV/atom: -7.402

a b c (Å): 8.9516 8.9516 8.9516
angles (deg): 90.00 90.00 90.00
Last column: nearest neighbours and their distance in Å.
Space group I-43d (No. 220)
One atom of each set of equivalent atoms:
Pa1 0.0000 0.2500 0.8750  4 Co 2.74
Co1 0.0000 0.2500 0.3750  4 Ge 2.50, 4 Pa 2.74
Ge1 0.0819 0.4181 0.5819  3 Co 2.50


Record 11
The following is a DFT calculation (PBE-GGA) of a relaxed structure of PaCo4Ge.

E above lowest polymorph in eV per atom: 0.000
M_tot in μB per cell: 0.01

a b c (Å): 6.8888 6.8888 6.8888
angles (deg): 90.00 90.00 90.00
Last column: nearest neighbours and their distance in Å.
Space group F-43m (No. 216)
One atom of each set of equivalent atoms:
Pa1 0.0000 0.0000 0.0000  12 Co 2.86, 4 Ge 2.98
Co1 0.1230 0.1230 0.6230  6 Co 2.40-2.47
Ge1 0.2500 0.2500 0.2500  12 Co 2.85, 4 Pa 2.98


Record 12
The following is a DFT calculation (PBE-GGA) of a relaxed structure of Pa2Co4Ge.

M_tot in μB per cell: 0.00
VASP energy in eV/atom: -7.368

a b c (Å): 4.4125 4.4125 12.5802
angles (deg): 90.00 90.00 90.00
Last column: nearest neighbours and their distance in Å.
Space group I4/mmm (No. 139)
One atom of each set of equivalent atoms:
Pa1 0.0000 0.0000 0.1448  1 Co 2.17
Co1 0.0000 0.0000 0.3174  1 Pa 2.17, 1 Ge 2.30
Co2 0.0000 0.5000 0.0000  2 Ge 2.21
Ge1 0.0000 0.0000 0.5000  6 Co 2.21-2.30


Record 13
The following is a DFT calculation (PBE-GGA) of a relaxed structure of Pa4Co2Ge5.

M_tot in μB per cell: 0.00
VASP energy in eV/atom: -7.271

a b c (Å): 7.1329 3.3307 9.0702
angles (deg): 90.00 92.64 90.00
Last column: nearest neighbours and their distance in Å.
Space group P2/m (No. 10)
One atom of each set of equivalent atoms:
Pa1 0.1802 0.0000 0.3746  2 Co 2.79, 8 Ge 3.01-3.11
Pa2 0.2460 0.0000 0.9413  4 Co 2.78-2.88, 6 Ge 3.04-3.11
Co1 0.0729 0.5000 0.1388  2 Ge 2.57-2.61, 1 Co 2.68, 4 Pa 2.78-2.79
Ge1 0.1753 0.5000 0.6639  1 Co 2.57, 1 Ge 2.81
Ge2 0.4353 0.5000 0.1921  1 Co 2.61, 1 Ge 2.81
Ge3 0.5000 0.5000 0.5000  4 Ge 2.81, 4 Pa 3.01


Record 14
The following is a DFT calculation (PBE-GGA) of a relaxed structure of PaCo2Ge4.

M_tot in μB per cell: 0.00
VASP energy in eV/atom: -6.375

a b c (Å): 17.1667 4.0965 6.3927
angles (deg): 90.00 90.00 90.00
Last column: nearest neighbours and their distance in Å.
Space group Pnma (No. 62)
One atom of each set of equivalent atoms:
Pa1 0.1364 0.2500 0.0085  8 Ge 2.90-3.13, 2 Co 3.16
Co1 0.0335 0.7500 0.7535  7 Ge 2.40-2.62
Co2 0.2083 0.2500 0.4837  7 Ge 2.42-2.64
Ge1 0.0287 0.7500 0.1465  3 Co 2.40-2.51
Ge2 0.0675 0.2500 0.5142  4 Co 2.43-2.62
Ge3 0.1812 0.7500 0.6966  4 Co 2.50-2.64, 1 Ge 2.67
Ge4 0.2014 0.7500 0.2832  3 Co 2.42-2.46, 1 Ge 2.67


Record 15
The following is a DFT calculation (PBE-GGA) of a relaxed structure of Pa2Co12Ge7.

M_tot in μB per cell: 5.65
VASP energy in eV/atom: -6.828

a b c (Å): 9.3586 9.3586 3.7624
angles (deg): 90.00 90.00 120.00
Last column: nearest neighbours and their distance in Å.
Space group P-6 (No. 174)
One atom of each set of equivalent atoms:
Pa1 0.0000 0.0000 0.0000  6 Ge 3.03, 12 Co 3.04-3.32
Pa2 0.3333 0.6667 0.5000  9 Co 2.98-3.33, 6 Ge 3.02
Co1 0.0374 0.2715 0.5000  4 Ge 2.35-2.42
Co2 0.1145 0.7166 0.0000  4 Ge 2.33-2.38, 1 Co 2.59
Co3 0.3847 0.1866 0.0000  4 Ge 2.29-2.33
Co4 0.5594 0.4372 0.5000  5 Ge 2.42-2.54, 1 Co 2.66
Ge1 0.0589 0.4440 0.0000  7 Co 2.30-2.52
Ge2 0.2684 0.2355 0.5000  7 Co 2.33-2.42
Ge3 0.6667 0.3333 0.0000  9 Co 2.29-2.54


Record 16
The following is a DFT calculation (PBE-GGA) of a relaxed structure of Pa4CoGe.

M_tot in μB per cell: 0.00
VASP energy in eV/atom: -8.562

a b c (Å): 6.8263 6.8263 5.5668
angles (deg): 90.00 90.00 90.00
Last column: nearest neighbours and their distance in Å.
Space group P4/mcc (No. 124)
One atom of each set of equivalent atoms:
Pa1 0.1387 0.3399 0.0000  2 Co 2.87, 1 Pa 2.89, 2 Ge 3.04
Co1 0.0000 0.0000 0.2500  2 Co 2.78, 8 Pa 2.87
Ge1 0.5000 0.5000 0.2500  2 Ge 2.78, 8 Pa 3.04


Record 17
The following is a DFT calculation (PBE-GGA) of a relaxed structure of Pa3Co6Ge5.

M_tot in μB per cell: 1.88
VASP energy in eV/atom: -7.240

a b c (Å): 3.9971 12.2801 9.0120
angles (deg): 90.00 90.00 90.00
Last column: nearest neighbours and their distance in Å.
Space group Pmmn (No. 59, origin choice 2)
One atom of each set of equivalent atoms:
Pa1 0.2500 0.0717 0.2485  7 Co 2.88-3.16, 6 Ge 2.95-3.06
Pa2 0.2500 0.7500 0.2371  6 Ge 2.93-2.98, 6 Co 2.97-2.99
Co1 0.2500 0.0548 0.5988  4 Ge 2.40-2.46, 1 Co 2.51
Co2 0.2500 0.2500 0.0080  4 Ge 2.41-2.43
Co3 0.2500 0.2500 0.5156  4 Ge 2.49, 2 Co 2.51
Co4 0.2500 0.5858 0.9953  4 Ge 2.37-2.47
Ge1 0.2500 0.0852 0.8633  5 Co 2.37-2.41
Ge2 0.2500 0.6318 0.5202  5 Co 2.40-2.49
Ge3 0.2500 0.7500 0.8380  4 Co 2.43-2.47


Record 18
The following is a DFT calculation (PBE-GGA) of a relaxed structure of Pa2Co4Ge3.

M_tot in μB per cell: 0.00
VASP energy in eV/atom: -7.304

a b c (Å): 5.5028 15.0306 6.6321
angles (deg): 90.00 90.00 90.00
Last column: nearest neighbours and their distance in Å.
Space group Cmce (No. 64)
One atom of each set of equivalent atoms:
Pa1 0.0000 0.1050 0.0854  5 Co 2.66-2.92
Co1 0.0000 0.1661 0.4696  5 Ge 2.50-2.53, 2 Co 2.69, 1 Pa 2.71
Co2 0.2500 0.0744 0.7500  3 Ge 2.39-2.43, 2 Pa 2.66
Ge1 0.0000 0.0000 0.5000  6 Co 2.43-2.50
Ge2 0.2500 0.2336 0.7500  5 Co 2.39-2.53